(i)
A geometry-optimized Ta2TlRu structure. Source: Alexandria, functional PBEsol.

Calculated values
The calculation puts the size of the total moment at 0.0 Bohr magnetons per cell. Its crystal system is orthorhombic. As for the density of states at the Fermi level: 0.6611 states/eV per atom. As for the space-group type: Pmm2, No. 25.

Structure (POSCAR):
```
Ta2TlRu
1.0
3.1128 0.0000 0.0000
0.0000 3.5914 0.0000
0.0000 0.0000 6.2691
Ta Tl Ru
2 1 1
direct
0.0000 0.0000 0.0000
0.5000 0.5000 0.2488
0.0000 0.0000 0.5239
0.5000 0.5000 0.7922
```

---

(ii)
A geometry-optimized Ta2TlRu structure. Source: Alexandria, functional PBEsol.

Calculated values
The calculation puts the size of the total moment at 0.0 Bohr magnetons per cell. Its crystal system is orthorhombic. As for the density of states at the Fermi level: 0.9179 states/eV per atom. As for the space-group type: Imm2, No. 44.

Structure (POSCAR):
```
Ta2TlRu
1.0
-1.5483 2.3718 4.7661
1.5483 -2.3718 4.7661
1.5483 2.3718 -4.7661
Ta Tl Ru
2 1 1
direct
0.0000 0.0000 0.0000
0.7490 0.2490 0.5000
0.2773 0.7773 0.5000
0.5268 0.5268 0.0000
```

---

On energetic grounds, (i) is preferred over the next structure by 79 meV per atom.

---

(i)
A geometry-optimized ZrTaRu structure. Source: Alexandria, functional PBEsol.

Calculated values
The calculation puts the size of the total moment at 0.0 Bohr magnetons per cell. Its crystal system is tetragonal. As for the density of states at the Fermi level: 0.4132 states/eV per atom. As for the space-group type: I4mm, No. 107.

Structure (POSCAR):
```
ZrTaRu
1.0
-1.5880 1.5880 5.1243
1.5880 -1.5880 5.1243
1.5880 1.5880 -5.1243
Zr Ta Ru
1 1 1
direct
0.0000 0.0000 0.0000
0.6859 0.6859 0.0000
0.3333 0.3333 0.0000
```

---

(ii)
A geometry-optimized ZrTaRu structure. Source: Alexandria, functional PBEsol.

Calculated values
The calculation puts the size of the total moment at 0.0 Bohr magnetons per cell. Its crystal system is trigonal. As for the density of states at the Fermi level: 0.9035 states/eV per atom. As for the space-group type: P3m1, No. 156.

Structure (POSCAR):
```
ZrTaRu
1.0
3.0608 0.0000 0.0000
-1.5304 2.6508 0.0000
0.0000 0.0000 6.5310
Zr Ta Ru
1 1 1
direct
0.0000 0.0000 0.0000
0.6667 0.3333 0.3668
0.3333 0.6667 0.6666
```

---

On energetic grounds, (i) is preferred over the next structure by 363 meV per atom.